A | DFT (PBE) results for a relaxed structure of KTa3Ni.

Cell: 4.7955 4.7955 4.7955 Å, 90.00 90.00 90.00°
Closest atoms and distances in Å follow each position.
Fractional positions:
Ni (0.0000, 0.0000, 0.0000)  6 Ta 2.40
K (0.5000, 0.5000, 0.5000)  12 Ta 3.39
Ta (0.0000, 0.5000, 0.0000)  2 Ni 2.40
Ta (0.0000, 0.0000, 0.5000)  2 Ni 2.40
Ta (0.5000, 0.0000, 0.0000)  2 Ni 2.40

Space group: Pm-3m, No. 221
Magnetic moment in μB per formula unit: 0.0
DOS at the Fermi energy in states/eV per cell: 9.3



B | DFT (PBE) results for a relaxed structure of KTa3Ni.

Cell: 4.5604 4.5604 4.5604 Å, 90.00 90.00 90.00°
Closest atoms and distances in Å follow each position.
Fractional positions:
Ni (0.5000, 0.5000, 0.5000)  12 Ta 3.22
K (0.0000, 0.0000, 0.0000)  6 Ta 2.28
Ta (0.0000, 0.5000, 0.0000)  2 K 2.28
Ta (0.0000, 0.0000, 0.5000)  2 K 2.28
Ta (0.5000, 0.0000, 0.0000)  2 K 2.28

Space group: Pm-3m, No. 221
Magnetic moment in μB per formula unit: 1.0
DOS at the Fermi energy in states/eV per cell: 11.7



Name the least stable of them. B.



A | DFT (PBE) results for a relaxed structure of K2TcNi.

Cell: 5.6528 2.7645 5.2292 Å, 84.97 90.00 90.00°
Closest atoms and distances in Å follow each position.
Fractional positions:
K (0.0000, 0.0366, 0.0062)  5 K 2.76-2.90
K (0.0000, 0.4634, 0.4938)  5 K 2.76-2.90
Ni (0.5000, 0.2500, 0.2500)  2 Ni 2.76, 4 Tc 2.85-3.06
Tc (0.5000, 0.7500, 0.7500)  2 Tc 2.76, 4 Ni 2.85-3.06

Space group: P2/m, No. 10
Magnetic moment in μB per formula unit: 1.2
DOS at the Fermi energy in states/eV per cell: 3.9



B | DFT (PBE) results for a relaxed structure of K2TcNi.

Cell: 6.3502 5.2259 2.7666 Å, 85.49 79.31 113.23°
Closest atoms and distances in Å follow each position.
Fractional positions:
K (0.0000, 0.0000, 0.0000)  6 K 2.77-3.05
K (0.0000, 0.5000, 0.5000)  6 K 2.77-3.05
Ni (0.5000, 0.5000, 0.0000)  2 Ni 2.77, 4 Tc 2.86-3.05
Tc (0.5000, 0.0000, 0.5000)  2 Tc 2.77, 4 Ni 2.86-3.05

Space group: C2/m, No. 12
Magnetic moment in μB per formula unit: 1.3
DOS at the Fermi energy in states/eV per cell: 4.1



C | DFT (PBE) results for a relaxed structure of K2TcNi.

Cell: 5.5339 5.5339 5.5339 Å, 60.00 60.00 60.00°
Closest atoms and distances in Å follow each position.
Fractional positions:
Ni (0.0000, 0.0000, 0.0000)  8 K 3.39
K (0.2500, 0.2500, 0.2500)  4 Tc 3.39, 4 Ni 3.39
K (0.7500, 0.7500, 0.7500)  4 Tc 3.39, 4 Ni 3.39
Tc (0.5000, 0.5000, 0.5000)  8 K 3.39

Space group: Fm-3m, No. 225
Magnetic moment in μB per formula unit: 4.7
DOS at the Fermi energy in states/eV per cell: 4.6



D | DFT (PBE) results for a relaxed structure of K2TcNi.

Cell: 3.3297 3.3297 10.3294 Å, 90.00 90.00 90.06°
Closest atoms and distances in Å follow each position.
Fractional positions:
K (0.0000, 0.0000, 0.9145)  4 K 3.33, 1 Ni 3.40, 4 Tc 3.55
K (0.5000, 0.5000, 0.3425)  1 Tc 3.25, 4 K 3.33, 4 Ni 3.44
Ni (0.0000, 0.0000, 0.5856)  4 Tc 2.47
Tc (0.5000, 0.5000, 0.6574)  4 Ni 2.47

Space group: P4mm, No. 99
Magnetic moment in μB per formula unit: 1.8
DOS at the Fermi energy in states/eV per cell: 4.2



Name the least stable of them. C.



A | DFT (PBE) results for a relaxed structure of K2TcNi.

Cell: 3.4310 4.5334 5.5876 Å, 90.00 90.00 90.00°
Closest atoms and distances in Å follow each position.
Fractional positions:
K (0.0000, 0.0000, 0.0000)  4 K 2.84
K (0.5000, 0.5000, 0.0000)  4 K 2.84
Ni (0.5000, 0.0000, 0.5000)  4 Tc 2.84
Tc (0.0000, 0.5000, 0.5000)  4 Ni 2.84

Space group: Pmmm, No. 47
Magnetic moment in μB per formula unit: 2.8
DOS at the Fermi energy in states/eV per cell: 3.1



B | DFT (PBE) results for a relaxed structure of K2TcNi.

Cell: 4.0463 4.0463 10.0016 Å, 79.36 79.36 57.80°
Closest atoms and distances in Å follow each position.
Fractional positions:
K (0.9562, 0.9562, 0.1113)  3 Ni 3.42-3.54, 3 Tc 3.45-3.49
K (0.7992, 0.7992, 0.6387)  3 Ni 3.42-3.54, 3 Tc 3.45-3.49
Ni (0.5352, 0.5352, 0.3750)  3 Tc 2.31
Tc (0.2094, 0.2094, 0.3750)  3 Ni 2.31

Space group: Cm, No. 8
Magnetic moment in μB per formula unit: 0.0
DOS at the Fermi energy in states/eV per cell: 3.6



Name the least stable of them. A.



A | DFT (PBE) results for a relaxed structure of K2TcNi.

Cell: 3.8143 2.8065 10.3703 Å, 80.75 90.00 90.00°
Closest atoms and distances in Å follow each position.
Fractional positions:
K (0.0000, 0.2078, 0.9138)  2 K 2.81
K (0.5000, 0.0453, 0.3437)  2 K 2.81
Ni (0.0000, 0.3957, 0.5831)  4 Tc 2.49
Tc (0.5000, 0.8511, 0.6594)  4 Ni 2.49

Space group: Pm, No. 6
Magnetic moment in μB per formula unit: 0.0
DOS at the Fermi energy in states/eV per cell: 4.0



B | DFT (PBE) results for a relaxed structure of K2TcNi.

Cell: 5.2200 5.2200 5.2200 Å, 60.00 60.00 60.00°
Closest atoms and distances in Å follow each position.
Fractional positions:
K (0.0000, 0.0000, 0.0000)  4 Tc 3.20, 4 K 3.20
K (0.2500, 0.2500, 0.2500)  4 K 3.20, 4 Ni 3.20
Ni (0.5000, 0.5000, 0.5000)  4 K 3.20, 4 Tc 3.20
Tc (0.7500, 0.7500, 0.7500)  4 K 3.20, 4 Ni 3.20

Space group: F-43m, No. 216
Magnetic moment in μB per formula unit: 4.2
DOS at the Fermi energy in states/eV per cell: 3.3



Name the least stable of them. B.



A | DFT (PBE) results for a relaxed structure of K2TcNi.

Cell: 6.2199 6.2199 6.2199 Å, 142.66 142.66 53.84°
Closest atoms and distances in Å follow each position.
Fractional positions:
K (0.0000, 0.0000, 0.0000)  4 K 2.82
K (0.5000, 0.5000, 0.0000)  4 K 2.82
Ni (0.2500, 0.7500, 0.5000)  4 Tc 2.82
Tc (0.7500, 0.2500, 0.5000)  4 Ni 2.82

Space group: I4/mmm, No. 139
Magnetic moment in μB per formula unit: 2.7
DOS at the Fermi energy in states/eV per cell: 2.1



B | DFT (PBE) results for a relaxed structure of K2TcNi.

Cell: 11.3813 11.3813 11.3813 Å, 14.59 14.59 14.59°
Closest atoms and distances in Å follow each position.
Fractional positions:
K (0.9959, 0.9959, 0.9959)  6 K 2.89, 3 Ni 3.15
K (0.5041, 0.5041, 0.5041)  6 K 2.89, 3 Ni 3.15
Ni (0.2500, 0.2500, 0.2500)  6 Ni 2.89, 6 K 3.15
Tc (0.7500, 0.7500, 0.7500)  6 Tc 2.89

Space group: R-3m, No. 166
Magnetic moment in μB per formula unit: 1.1
DOS at the Fermi energy in states/eV per cell: 2.8



Name the least stable of them. A.



A | DFT (PBE) results for a relaxed structure of K2TcNi.

Cell: 12.4243 12.4243 9.0693 Å, 46.77 46.77 90.00°
Closest atoms and distances in Å follow each position.
Fractional positions:
Ni (0.5000, 0.5000, 0.0000)  2 Tc 2.25
Ni (0.2500, 0.7500, 0.5000)  2 Tc 2.25
K (0.4381, 0.1250, 0.2500)  2 Ni 3.25, 2 Tc 3.62
K (0.3119, 0.6250, 0.2500)  2 Ni 3.25, 2 Tc 3.62
K (0.3750, 0.5619, 0.7500)  2 Ni 3.25, 2 Tc 3.62
K (0.8750, 0.6881, 0.7500)  2 Ni 3.25, 2 Tc 3.62
Tc (0.0000, 0.0000, 0.0000)  2 Ni 2.25
Tc (0.7500, 0.2500, 0.5000)  2 Ni 2.25

Space group: I-42d, No. 122
Magnetic moment in μB per formula unit: 3.3
DOS at the Fermi energy in states/eV per cell: 6.6



B | DFT (PBE) results for a relaxed structure of K2TcNi.

Cell: 10.3733 10.3733 4.1735 Å, 78.15 78.15 15.45°
Closest atoms and distances in Å follow each position.
Fractional positions:
K (0.1089, 0.1089, 0.8943)  2 K 2.79
K (0.3911, 0.3911, 0.6057)  2 K 2.79
Ni (0.7500, 0.7500, 0.7500)  4 Tc 2.51, 2 Ni 2.79
Tc (0.2500, 0.2500, 0.2500)  4 Ni 2.51, 2 Tc 2.79

Space group: C2/m, No. 12
Magnetic moment in μB per formula unit: 0.9
DOS at the Fermi energy in states/eV per cell: 3.9



Name the least stable of them. A.



A | DFT (PBE) results for a relaxed structure of K2TcNi.

Cell: 6.8349 6.8349 6.8349 Å, 151.18 128.54 60.05°
Closest atoms and distances in Å follow each position.
Fractional positions:
K (0.9834, 0.9834, 0.0000)  4 K 3.40-3.78, 4 Ni 3.51, 2 Tc 3.78
K (0.2857, 0.7857, 0.5000)  4 K 3.40-3.78, 2 Ni 3.56, 4 Tc 3.64
Ni (0.5498, 0.5498, 0.0000)  2 Tc 2.30
Tc (0.6811, 0.1811, 0.5000)  2 Ni 2.30

Space group: Imm2, No. 44
Magnetic moment in μB per formula unit: 3.3
DOS at the Fermi energy in states/eV per cell: 3.9



B | DFT (PBE) results for a relaxed structure of K2TcNi.

Cell: 2.7498 2.7498 11.0079 Å, 90.00 90.00 93.79°
Closest atoms and distances in Å follow each position.
Fractional positions:
K (0.0000, 0.0000, 0.0114)  4 K 2.75
K (0.0000, 0.0000, 0.4886)  4 K 2.75
Ni (0.5000, 0.5000, 0.2500)  4 Ni 2.75
Tc (0.5000, 0.5000, 0.7500)  4 Tc 2.75

Space group: Cmmm, No. 65
Magnetic moment in μB per formula unit: 0.4
DOS at the Fermi energy in states/eV per cell: 4.7



Name the least stable of them. B.



A | DFT (PBE) results for a relaxed structure of KTc2Ni.

Cell: 6.0681 6.0597 6.0597 Å, 155.43 132.61 54.09°
Closest atoms and distances in Å follow each position.
Fractional positions:
K (0.7500, 0.2500, 0.5000)  2 K 2.58, 4 Ni 2.76
Ni (0.2500, 0.7500, 0.5000)  2 Ni 2.58, 4 Tc 2.59, 4 K 2.76
Tc (0.0428, 0.0420, 0.0009)  2 Tc 2.58, 2 Ni 2.59
Tc (0.4572, 0.4580, 0.9991)  2 Tc 2.58, 2 Ni 2.59

Space group: C2/m, No. 12
Magnetic moment in μB per formula unit: 0.0
DOS at the Fermi energy in states/eV per cell: 3.8



B | DFT (PBE) results for a relaxed structure of KTc2Ni.

Cell: 5.0512 3.6790 3.6790 Å, 90.00 90.00 90.00°
Closest atoms and distances in Å follow each position.
Fractional positions:
K (0.5000, 0.5000, 0.0000)  4 Ni 2.60
Ni (0.5000, 0.0000, 0.5000)  4 K 2.60
Tc (0.0000, 0.0000, 0.0000)  4 Tc 2.60
Tc (0.0000, 0.5000, 0.5000)  4 Tc 2.60

Space group: P4/mmm, No. 123
Magnetic moment in μB per formula unit: 0.0
DOS at the Fermi energy in states/eV per cell: 4.0



C | DFT (PBE) results for a relaxed structure of KTc2Ni.

Cell: 2.6198 2.6198 9.8796 Å, 90.00 90.00 99.46°
Closest atoms and distances in Å follow each position.
Fractional positions:
K (0.5000, 0.5000, 0.2500)  4 K 2.62
Ni (0.5000, 0.5000, 0.7500)  8 Tc 2.56-2.77, 4 Ni 2.62
Tc (0.0000, 0.0000, 0.9443)  4 Ni 2.56-2.77, 4 Tc 2.62
Tc (0.0000, 0.0000, 0.5557)  4 Ni 2.56-2.77, 4 Tc 2.62

Space group: Cmmm, No. 65
Magnetic moment in μB per formula unit: 0.0
DOS at the Fermi energy in states/eV per cell: 5.1



D | DFT (PBE) results for a relaxed structure of KTc2Ni.

Cell: 2.6848 4.7614 5.2321 Å, 90.00 90.00 90.00°
Closest atoms and distances in Å follow each position.
Fractional positions:
K (0.5000, 0.0000, 0.5000)  2 K 2.68, 4 Ni 2.73, 4 Tc 2.94
Ni (0.0000, 0.5000, 0.5000)  2 Ni 2.68, 4 K 2.73, 4 Tc 2.94
Tc (0.0000, 0.0000, 0.0000)  6 Tc 2.68-2.73, 4 K 2.94
Tc (0.5000, 0.5000, 0.0000)  6 Tc 2.68-2.73, 4 Ni 2.94

Space group: Pmmm, No. 47
Magnetic moment in μB per formula unit: 0.5
DOS at the Fermi energy in states/eV per cell: 5.1



Name the least stable of them. B.